Entry 1:
This record from Alexandria describes a relaxed Mn2CrTcN crystal. The functional is PBE.

The structure in POSCAR format:
```
Mn2CrTcN
1.0
-3.342 -1.532 0.748
1.672 -2.629 2.089
-0.336 2.241 3.089
Cr Mn Tc N
1 2 1 1
Cartesian
-0.168 1.120 1.545
0.836 -1.315 1.044
-1.671 -0.766 0.374
-1.003 -0.960 2.963
0.000 0.000 0.000
```

As for the formation energy (no corrections): -0.133 eV/atom. Its symmetry is No. 123.


Entry 2:
This record from Alexandria describes a relaxed La6Y2Mg crystal. The functional is PBE.

The structure in POSCAR format:
```
La6Y2Mg
1.0
-5.312 2.924 0.535
-6.773 -7.562 6.838
-2.528 -0.787 11.950
La Y Mg
12 4 2
Cartesian
-8.369 -4.670 12.032
-4.121 -3.068 6.381
-6.244 -0.755 7.290
-10.492 -2.358 12.941
-11.698 -4.720 10.749
-8.086 -3.258 5.812
-2.915 -0.705 8.574
-6.527 -2.167 13.511
-5.979 -6.038 6.588
-9.052 -5.756 8.765
-8.634 0.612 12.734
-5.561 0.331 10.557
-7.872 -4.972 15.365
-3.006 -0.192 4.990
-6.741 -0.453 3.957
-11.607 -5.233 14.333
-5.994 -3.469 9.508
-8.618 -1.956 9.814
```

Its symmetry is No. 15.


Entry 3:
This record from Alexandria describes a relaxed Cd4BC2 crystal. The functional is PBE.

The structure in POSCAR format:
```
Cd4BC2
1.0
5.299 0.000 0.000
0.000 5.299 0.000
2.649 2.649 4.875
C B Cd
2 1 4
Cartesian
5.299 5.299 4.244
2.649 2.649 0.631
0.000 0.000 0.000
5.299 5.299 2.128
2.649 2.649 2.746
0.000 2.649 0.000
2.649 0.000 0.000
```

Its symmetry is No. 139.


Entry 4:
This record from Alexandria describes a relaxed Er2PtPb crystal. The functional is PBE.

The structure in POSCAR format:
```
Er2PtPb
1.0
3.969 0.015 0.000
1.998 3.429 0.000
1.989 1.148 8.173
Er Pt Pb
2 1 1
Cartesian
1.987 1.147 6.585
1.999 1.154 1.577
3.982 2.299 0.014
3.965 2.289 4.085
```

Its symmetry is No. 8.


Entry 5:
This record from Alexandria describes a relaxed AlP2Se crystal. The functional is PBE.

The structure in POSCAR format:
```
AlP2Se
1.0
-1.289 5.846 4.293
-5.218 4.951 1.588
2.393 -6.861 -1.207
P Al Se
2 1 1
Cartesian
0.000 0.000 0.000
-3.254 5.398 2.941
-1.075 2.191 3.013
-3.039 1.744 1.661
```

As for the formation energy (no corrections): 0.218 eV/atom. Its symmetry is No. 139. The calculation puts the distance to the lowest polymorph of the same formula at 380 meV per atom.


Entry 6:
This record from Alexandria describes a relaxed Th2Al3Pt12Rh crystal. The functional is PBE.

The structure in POSCAR format:
```
Th2Al3Pt12Rh
1.0
-7.809 0.710 -0.116
-4.056 -4.498 4.981
-3.338 3.587 6.123
Th Al Pt Rh
2 3 12 1
Cartesian
-9.407 -0.125 6.799
-5.797 -0.077 4.190
-3.905 0.355 -0.058
-2.028 -2.249 2.491
-1.669 1.794 3.062
-7.360 1.767 7.225
-11.529 -1.895 6.553
-9.384 -0.515 9.546
-9.656 0.290 4.021
-11.185 1.984 7.101
-7.729 -2.385 6.639
-7.843 -1.969 3.764
-3.674 1.693 4.436
-5.819 0.313 1.442
-5.547 -0.491 6.967
-4.019 -2.186 3.888
-7.475 2.183 4.350
0.000 0.000 0.000
```

Its symmetry is No. 166.


Entry 7:
This record from Alexandria describes a relaxed AlSi2Ni crystal. The functional is PBE.

The structure in POSCAR format:
```
AlSi2Ni
1.0
-4.186 1.410 -1.938
-1.208 -6.228 -1.923
-3.694 -1.427 6.943
Ni Si Al
4 8 4
Cartesian
-7.048 -2.628 3.550
-2.569 -3.439 -0.712
-6.898 -5.451 1.173
-2.719 -0.616 1.666
-4.963 0.242 0.973
-4.767 -6.271 1.813
-4.552 -2.480 -1.895
-5.178 -3.549 4.681
-3.525 -1.822 5.431
-4.069 -4.927 -1.657
-3.503 -4.694 3.294
-4.091 -2.054 0.481
-5.794 -0.926 4.953
-1.820 -5.816 -1.188
-5.334 -3.629 1.993
-2.279 -3.113 1.773
```

As for the formation energy (no corrections): -0.097 eV/atom. Its symmetry is No. 33.


Entry 8:
This record from Alexandria describes a relaxed La6PbI8 crystal. The functional is PBE.

The structure in POSCAR format:
```
La6PbI8
1.0
-0.371 7.774 0.908
-4.665 3.085 5.487
7.111 3.135 9.878
La Pb I
6 1 8
Cartesian
-2.088 9.744 5.763
5.486 8.368 9.266
2.513 7.873 12.609
-0.439 6.120 3.664
-3.412 5.625 7.007
4.163 4.249 10.510
0.000 0.000 0.000
2.430 9.529 9.733
0.997 8.627 5.265
-2.015 8.146 8.653
-1.678 3.619 2.132
3.753 10.374 14.141
4.089 5.847 7.620
1.077 5.366 11.008
-0.355 4.464 6.539
```

As for the formation energy (no corrections): -1.227 eV/atom. Its symmetry is No. 148.


E in eV per cell, matching the order above: -47.3 -86.5 -22.5 -22.0 -17.2 -114.9 -83.0 -64.1
Total magnetization in μB per formula unit, matching the order above: 0.0 0.0 0.0 0.0 0.0 0.0 0.0 0.0
DOS(E_F) in states/eV per cell, matching the order above: 4.56 25.14 1.20 2.63 1.73 8.51 3.83 7.78